DFT (PBEsol) results for crystalline NaY3P at its relaxed geometry.

Calculated values
- E: -4.57 eV/atom
- Energy of formation: 0.966 eV per atom
- M_tot: 0.0 μB per cell

Lattice parameters (Å, degrees): 5.2275 5.2275 5.2275 90.00 90.00 90.00
Closest atoms and distances in Å follow each position.
Space group Pm-3m (No. 221)
Symmetry-distinct sites (fractional):
Na (0.0000, 0.0000, 0.0000) (multiplicity 1)  6 Y 2.61
Y (0.0000, 0.0000, 0.5000) (multiplicity 3)  2 Na 2.61
P (0.5000, 0.5000, 0.5000) (multiplicity 1)  12 Y 3.70